Arrangement 1

Material: KLiZn2
Method: DFT, PBE
State: relaxed

Total moment ... 0.00 μB per cell
SG ... R-3m
Mass density ... 2.7 g cm⁻³

Structure (extended XYZ):
```
4
Lattice="6.659 -1.003 -0.594 5.788 3.442 -0.594 5.788 1.134 3.304" Properties=species:S:1:pos:R:3 pbc="T T T"
Zn 1.288 0.252 0.150
Zn 7.829 1.534 0.909
Li 13.676 2.680 1.587
K 4.559 0.893 0.529
```

---

Arrangement 2

Material: KLiZn2
Method: DFT, PBE
State: relaxed

Total moment ... 0.00 μB per cell
SG ... Imm2
Mass density ... 2.9 g cm⁻³

Structure (extended XYZ):
```
4
Lattice="6.075 0.098 0.079 2.271 5.635 -0.079 -3.389 -4.008 3.061" Properties=species:S:1:pos:R:3 pbc="T T T"
Zn 8.189 5.625 0.000
Zn 3.858 -0.228 1.570
Li 1.146 1.984 1.491
K 4.284 2.943 0.000
```

---

Most stable to least stable: arrangement 1, arrangement 2